(1)
LiCoBiSb2 (PBE-GGA, relaxed); energy = -0.1335 Ha/atom; uncorrected formation energy = 0.60 eV per atom
1.0
5.101 0.000 0.000
0.000 4.436 0.000
0.000 0.000 5.101
Sb Co Bi Li
2 1 1 1
Direct
0.000 0.000 0.500
0.500 0.000 0.000
0.000 0.500 0.000
0.500 0.500 0.500
0.000 0.000 0.000

(2)
SrLiCoBi2 (PBE-GGA, relaxed); calculated formation energy = 983.3 meV/atom; energy = -0.0996 Ha/atom
1.0
-2.118 -5.606 1.393
4.679 -1.381 1.556
-1.328 1.917 5.694
Sr Co Bi Li
1 1 2 1
Direct
0.000 0.000 0.000
0.000 0.500 0.000
0.000 0.000 0.500
0.500 0.000 0.000
0.500 0.500 0.500

(3)
SrLi2CoBi (PBE-GGA, relaxed); calculated formation energy = -61.0 meV/atom; energy = -0.1235 Ha/atom
1.0
-3.098 3.639 1.258
-2.314 -3.041 3.098
3.069 1.359 3.627
Sr Co Bi Li
1 1 1 2
Direct
0.500 0.500 0.500
0.000 0.000 0.000
0.000 0.500 0.000
0.000 0.000 0.500
0.500 0.000 0.000

(4)
LiTmCoBi (PBE-GGA, relaxed); calculated formation energy = -305.8 meV/atom; energy = -0.1708 Ha/atom
1.0
4.649 0.000 0.000
2.325 4.026 0.000
2.325 1.342 3.796
Tm Co Bi Li
1 1 1 1
Direct
0.250 0.250 0.250
0.500 0.500 0.500
0.750 0.750 0.750
0.000 0.000 0.000

(5)
MgCoBi2 (PBE-GGA, relaxed); calculated formation energy = 139.4 meV/atom; energy = -0.1461 Ha/atom
1.0
9.026 0.000 0.000
0.000 9.026 0.000
4.513 4.513 2.508
Mg Co Bi
2 2 4
Direct
0.500 0.500 0.000
0.250 0.750 0.500
0.000 0.000 0.000
0.750 0.250 0.500
0.750 0.125 0.250
0.000 0.625 0.250
0.375 0.250 0.750
0.875 0.000 0.750

(6)
MgCoBi (PBE-GGA, relaxed); calculated formation energy = -11.2 meV/atom; energy = -0.1545 Ha/atom
1.0
4.359 0.000 0.000
0.000 4.359 0.000
0.000 0.000 6.309
Mg Co Bi
2 2 2
Direct
0.000 0.500 0.751
0.500 0.000 0.249
0.000 0.000 0.500
0.500 0.500 0.500
0.000 0.500 0.238
0.500 0.000 0.762

(7)
Mg3CoBi (PBE-GGA, relaxed); calculated formation energy = 245.1 meV/atom; energy = -0.1069 Ha/atom
1.0
4.870 0.000 0.000
0.000 4.870 0.000
0.000 0.000 4.870
Mg Co Bi
3 1 1
Direct
0.000 0.500 0.000
0.000 0.000 0.500
0.500 0.000 0.000
0.000 0.000 0.000
0.500 0.500 0.500

(8)
Mg3CoBi (PBE-GGA, relaxed); calculated formation energy = 1010.9 meV/atom; energy = -0.0788 Ha/atom
1.0
5.481 0.000 0.000
0.000 5.481 0.000
0.000 0.000 5.481
Mg Co Bi
3 1 1
Direct
0.000 0.500 0.000
0.000 0.000 0.500
0.500 0.000 0.000
0.500 0.500 0.500
0.000 0.000 0.000

(9)
MgNbCo2Bi (PBE-GGA, relaxed); calculated formation energy = 1453.2 meV/atom; energy = -0.1653 Ha/atom
1.0
-1.207 -3.697 2.062
2.329 -2.785 -3.631
3.733 0.082 2.332
Mg Nb Co Bi
1 1 2 1
Direct
0.000 0.000 0.000
0.500 0.500 0.500
0.000 0.000 0.500
0.500 0.000 0.000
0.000 0.500 0.000

Q: Among the records above, which one has the highest energy?
A: number 8